A plane-wave DFT calculation with PBE was carried out for crystalline Ba3HPb2 at its relaxed geometry.

a = 7.3797 Å, b = 9.4501 Å, c = 7.7863 Å
α = 99.88°, β = 118.29°, γ = 90.00°
Last column: nearest neighbours and their distance in Å.
Positions (direct):
Ba  0.3889  0.2500  0.0000  1 H 2.53
Ba  0.6111  0.7500  0.0000  1 H 2.53
Ba  0.0277  0.1544  0.2842  1 H 2.59
Ba  0.7434  0.3456  0.7158  1 H 2.59
Ba  0.2566  0.6544  0.2842  1 H 2.59
Ba  0.9723  0.8456  0.7158  1 H 2.59
H  0.9545  0.7500  0.0000  3 Ba 2.53-2.59
H  0.0455  0.2500  0.0000  3 Ba 2.53-2.59
Pb  0.7911  0.5101  0.3276  1 Pb 3.01
Pb  0.5364  0.0101  0.3276  1 Pb 3.01
Pb  0.4636  0.9899  0.6724  1 Pb 3.01
Pb  0.2089  0.4899  0.6724  1 Pb 3.01

raw total energy: -3.224 eV per atom
Fermi-level density of states: 0.884 states/eV/atom
space group: C2/c